DFT (PBE-GGA) results for a relaxed structure of TmMgCdHg.

Results
- calculated volume (Å³ per atom) = 22.68
- energy (eV per atom) = -2.18

Geometry as POSCAR:
```
TmMgCdHg
1.0
0.000 3.566 3.566
3.566 0.000 3.566
3.566 3.566 0.000
Tm Mg Cd Hg
1 1 1 1
Cartesian
0.000 0.000 0.000
3.566 3.566 3.566
5.350 5.350 5.350
1.783 1.783 1.783
```

=====

DFT (PBE-GGA) results for a relaxed structure of Mn3NiC.

Results
- calculated volume (Å³ per atom) = 11.43
- energy (eV per atom) = -8.43

Geometry as POSCAR:
```
Mn3NiC
1.0
3.852 0.000 0.000
0.000 3.852 0.000
0.000 0.000 3.852
Mn Ni C
3 1 1
Cartesian
0.000 0.000 1.926
0.000 1.926 0.000
1.926 0.000 0.000
1.926 1.926 1.926
0.000 0.000 0.000
```

=====

DFT (PBE-GGA) results for a relaxed structure of CaNbCu2S.

Results
- calculated volume (Å³ per atom) = 22.37
- raw formation energy (meV per atom) = 52.6

Geometry as POSCAR:
```
CaNbCu2S
1.0
4.875 0.000 0.000
0.000 4.875 0.000
0.000 0.000 4.705
Ca Nb Cu S
1 1 2 1
Cartesian
0.000 0.000 0.000
2.437 2.437 2.353
0.000 2.437 2.353
2.437 0.000 2.353
2.437 2.437 0.000
```

=====

DFT (PBE-GGA) results for a relaxed structure of NaGeSbO5.

Results
- calculated volume (Å³ per atom) = 14.58
- raw formation energy (meV per atom) = -1627.7

Geometry as POSCAR:
```
NaGeSbO5
1.0
13.201 0.000 0.000
0.000 6.501 0.000
0.000 0.000 10.876
Na Ge Sb O
8 8 8 40
Cartesian
1.323 1.486 0.000
2.094 5.202 3.483
4.507 1.951 8.921
5.278 4.737 5.438
7.923 1.764 0.000
8.694 4.549 3.483
11.107 1.299 8.921
11.878 5.014 5.438
0.240 2.047 3.614
2.471 0.259 6.507
4.130 3.510 1.069
6.361 5.297 9.052
6.840 1.203 3.614
9.071 2.991 6.507
10.730 6.241 1.069
12.961 4.454 9.052
1.519 3.465 6.389
2.995 5.061 9.357
3.606 1.811 3.919
5.082 0.215 0.951
8.119 6.286 6.389
9.595 4.690 9.357
10.206 1.440 3.919
11.682 3.035 0.951
0.183 2.652 1.941
0.379 3.459 4.689
1.063 5.597 9.466
1.266 1.530 6.700
1.536 5.401 5.901
1.721 1.089 3.729
2.604 3.601 8.047
2.775 3.695 10.803
3.202 3.235 5.288
3.253 3.266 2.592
3.347 0.016 8.030
3.398 6.486 10.726
3.826 0.445 5.365
3.997 0.351 2.609
4.880 4.340 9.167
5.064 2.150 0.463
5.335 4.780 1.262
5.538 2.347 4.028
6.221 0.208 10.127
6.417 5.902 7.379
6.784 0.598 1.941
6.980 6.292 4.689
7.663 4.154 9.466
7.866 1.721 6.700
8.137 4.350 5.901
8.321 2.161 3.729
9.204 6.150 8.047
9.375 6.056 10.803
9.803 0.015 5.288
9.854 6.485 2.592
9.948 3.235 8.030
9.999 3.266 10.726
10.426 2.806 5.365
10.597 2.899 2.609
11.480 5.411 9.167
11.665 1.100 0.463
11.935 4.971 1.262
12.138 0.903 4.028
12.822 3.042 10.127
13.018 3.849 7.379
```

=====

DFT (PBE-GGA) results for a relaxed structure of Pr6RuPb2.

Results
- calculated volume (Å³ per atom) = 33.24
- energy (eV per atom) = -5.34

Geometry as POSCAR:
```
Pr6RuPb2
1.0
6.497 0.000 0.000
0.000 8.733 0.000
-6.409 0.000 10.547
Pr Ru Pb
12 2 4
Cartesian
-2.351 1.495 4.756
-5.556 2.872 10.029
-0.825 6.020 4.753
-4.029 7.079 10.026
0.701 0.257 2.600
-2.504 4.109 7.873
2.591 4.623 2.674
-0.613 8.476 7.948
4.117 1.654 0.521
0.913 2.713 5.794
5.643 5.861 0.518
2.439 7.238 5.791
0.044 0.000 5.274
3.248 4.366 0.000
-3.703 0.974 7.979
-0.498 3.392 2.705
0.586 5.341 7.842
3.791 7.759 2.569
```

=====

DFT (PBE-GGA) results for a relaxed structure of Co2Tc.

Results
- calculated volume (Å³ per atom) = 14.09
- energy (eV per atom) = -7.51

Geometry as POSCAR:
```
Co2Tc
1.0
0.000 2.765 2.765
2.765 0.000 2.765
2.765 2.765 0.000
Co Tc
2 1
Cartesian
1.383 1.383 1.383
4.148 4.148 4.148
0.000 0.000 0.000
```

=====

DFT (PBE-GGA) results for a relaxed structure of La3Nd4Ho5.

Results
- calculated volume (Å³ per atom) = 33.91
- energy (eV per atom) = -4.71

Geometry as POSCAR:
```
La3Nd4Ho5
1.0
6.290 0.000 0.000
0.006 7.258 0.000
0.017 0.025 8.913
La Nd Ho
3 4 5
Cartesian
0.000 0.000 0.000
1.069 1.823 2.953
5.244 5.460 5.960
1.082 5.462 2.959
2.092 3.642 5.972
4.221 3.641 2.942
5.231 1.821 5.954
0.003 3.629 0.000
2.120 0.017 5.968
3.138 5.443 0.003
3.174 1.840 8.910
4.193 7.266 2.945
```

=====

DFT (PBE-GGA) results for a relaxed structure of CoCuCl6.

Results
- calculated volume (Å³ per atom) = 20.22
- raw formation energy (meV per atom) = -328.9

Geometry as POSCAR:
```
CoCuCl6
1.0
5.935 0.000 0.000
2.963 5.152 0.000
0.007 3.417 5.289
Co Cu Cl
1 1 6
Cartesian
0.000 0.000 0.000
2.971 1.709 2.644
2.087 3.519 1.286
3.944 6.991 3.998
4.817 5.204 1.291
4.088 3.365 3.998
4.961 1.579 1.291
6.818 5.050 4.003
```

=====

Repeat the sixth record exactly.
DFT (PBE-GGA) results for a relaxed structure of Co2Tc.

Results
- calculated volume (Å³ per atom) = 14.09
- energy (eV per atom) = -7.51

Geometry as POSCAR:
```
Co2Tc
1.0
0.000 2.765 2.765
2.765 0.000 2.765
2.765 2.765 0.000
Co Tc
2 1
Cartesian
1.383 1.383 1.383
4.148 4.148 4.148
0.000 0.000 0.000
```